VASP calculation (PBE) on CaMgRe2 after structural relaxation.

Calculated values
The size of the total moment comes out at 0.0 μB per formula unit. As for the total energy: -6.52 eV per atom.

Unit cell a=2.734 b=4.897 c=5.429 alpha=90.00 beta=102.43 gamma=90.00
Space group P2/m (No. 10)
Unique sites:
Ca 0.000 0.000 0.000 [1 per cell]
Mg 0.500 0.000 0.500 [1 per cell]
Re 0.274 0.500 0.757 [2 per cell]


VASP calculation (PBE) on PbW2Cl after structural relaxation.

Calculated values
The size of the total moment comes out at 0.0 μB per formula unit. Its formation energy from raw total energies is 1262 meV/atom. The energy above the most stable polymorph in this dataset comes out at 1054 meV per atom.

Unit cell a=4.439 b=4.439 c=17.196 alpha=90.00 beta=90.00 gamma=90.00
Space group I-42d (No. 122)
Unique sites:
Pb 0.000 0.000 0.000 [4 per cell]
W 0.157 0.250 0.625 [8 per cell]
Cl 0.000 0.000 0.500 [4 per cell]


VASP calculation (PBE) on InOs2RuCl after structural relaxation.

Calculated values
The size of the total moment comes out at 0.0 μB per formula unit. Its formation energy from raw total energies is 1911 meV/atom.

Unit cell a=4.276 b=4.276 c=5.051 alpha=90.00 beta=90.00 gamma=90.00
Space group P4/mmm (No. 123)
Unique sites:
In 0.000 0.000 0.000 [1 per cell]
Os 0.000 0.500 0.500 [2 per cell]
Ru 0.500 0.500 0.000 [1 per cell]
Cl 0.000 0.000 0.500 [1 per cell]